Compound: CaNp2MoN4
Source: Alexandria via LeMat-Bulk
Functional: GGA-PBE
Structure: relaxed

Values from the calculation:
Total energy = -157.12 eV/cell
N(E_F) = 1.308 states/eV per atom
M_tot = 11.743 Bohr magnetons per cell
Formation energy (no corrections) = -0.82 eV per atom
Space-group type = Cmcm (63)

abc: 3.390 6.100 11.835
angles: 90.00 90.00 106.14
Fractional positions:
Ca: 0.093 0.186 0.750
Ca: 0.907 0.814 0.250
Np: 0.370 0.740 0.548
Np: 0.630 0.260 0.048
Np: 0.630 0.260 0.452
Np: 0.370 0.740 0.952
Mo: 0.831 0.663 0.750
Mo: 0.169 0.337 0.250
N: 0.263 0.526 0.110
N: 0.737 0.474 0.610
N: 0.737 0.474 0.890
N: 0.263 0.526 0.390
N: 0.000 0.000 0.500
N: 0.000 0.000 0.000
N: 0.443 0.886 0.750
N: 0.557 0.114 0.250